4
Lattice="0.000 3.275 3.275 3.275 0.000 3.275 3.275 3.275 0.000" Properties=species:S:1:pos:R:3 comment="TlIr2Se | Alexandria | PBE | optimized geometry" vol_a3_per_cell=70 crystal_system=cubic e_form_raw_ev_per_atom=0.752 e_above_lowest_polymorph_ev_per_fu=1.967 pbc="T T T"
Tl 3.275 3.275 3.275
Ir 1.637 1.637 1.637
Ir 4.912 4.912 4.912
Se 0.000 0.000 0.000

8
Lattice="4.628 0.000 0.000 0.000 4.628 0.000 2.314 2.314 8.176" Properties=species:S:1:pos:R:3 comment="TlIr2Se | Alexandria | PBE | optimized geometry" vol_a3_per_cell=175 crystal_system=tetragonal e_form_raw_ev_per_atom=0.418 e_above_lowest_polymorph_ev_per_fu=0.629 pbc="T T T"
Tl 0.000 0.000 0.000
Tl 4.628 2.314 4.088
Ir 2.918 1.157 2.044
Ir 1.710 3.471 2.044
Ir 3.471 4.024 6.132
Ir 5.784 5.231 6.132
Se 2.314 2.314 0.000
Se 2.314 4.628 4.088

4
Lattice="3.005 0.000 0.000 0.000 3.005 0.000 0.000 0.000 8.749" Properties=species:S:1:pos:R:3 comment="TlIr2Se | Alexandria | PBE | optimized geometry" vol_a3_per_cell=79 crystal_system=tetragonal e_form_raw_ev_per_atom=0.366 e_above_lowest_polymorph_ev_per_fu=0.423 pbc="T T T"
Ir 0.000 0.000 0.386
Ir 1.502 1.502 2.161
Se 0.000 0.000 3.638
Tl 1.502 1.502 6.939

4
Lattice="4.647 -0.123 -0.054 3.714 2.794 -0.054 0.851 0.272 5.770" Properties=species:S:1:pos:R:3 comment="TlIr2Se | Alexandria | PBE | optimized geometry" vol_a3_per_cell=78 crystal_system=monoclinic e_form_raw_ev_per_atom=0.411 e_above_lowest_polymorph_ev_per_fu=0.601 pbc="T T T"
Ir 8.295 2.650 0.123
Ir 2.308 0.737 1.685
Se 4.704 1.503 2.094
Tl 6.872 2.196 4.483

5
Lattice="-1.113 -3.021 4.147 4.816 0.246 1.472 -1.084 4.286 2.832" Properties=species:S:1:pos:R:3 comment="YTlIrSe2 | Alexandria | PBE | optimized geometry" vol_a3_per_cell=139 crystal_system=tetragonal e_form_raw_ev_per_atom=0.536 pbc="T T T"
Y 1.310 0.755 4.225
Tl 0.000 0.000 0.000
Ir 2.408 0.123 0.736
Se -0.542 2.143 1.416
Se -0.557 -1.511 2.073

18
Lattice="-2.795 4.451 5.391 -5.520 -4.986 1.254 6.996 -0.933 4.397" Properties=species:S:1:pos:R:3 comment="Tm5Ir2Se2 | Alexandria | PBE | optimized geometry" vol_a3_per_cell=421 crystal_system=orthorhombic e_form_raw_ev_per_atom=-1.226 pbc="T T T"
Tm 0.000 0.000 0.000
Tm -4.157 -0.267 3.322
Tm -4.954 -0.389 6.618
Tm -1.263 -1.842 2.515
Tm -4.544 -3.506 4.147
Tm -1.673 1.275 4.986
Tm 3.635 -1.079 4.424
Tm -0.056 0.375 8.527
Tm 3.224 2.038 6.895
Tm 0.354 -2.742 6.056
Ir -6.532 -1.448 4.520
Ir -1.782 0.913 2.125
Ir -3.918 -2.574 1.548
Ir -4.397 2.039 5.096
Se 1.771 -1.432 2.101
Se -2.386 -1.700 5.423
Se -0.295 -4.486 3.551
Se 1.067 0.232 5.619

12
Lattice="-3.684 2.762 -5.318 -6.918 -0.861 1.190 -3.628 4.959 3.511" Properties=species:S:1:pos:R:3 comment="Tm6IrSe5 | Alexandria | PBE | optimized geometry" vol_a3_per_cell=287 crystal_system=monoclinic e_form_raw_ev_per_atom=-1.588 pbc="T T T"
Tm -4.479 3.596 -2.900
Tm -6.228 1.655 0.586
Tm -2.467 0.457 -0.987
Tm -8.136 1.444 -3.140
Tm -8.002 5.205 -1.202
Tm -9.751 3.263 2.284
Se -5.410 4.423 -0.185
Se -3.515 1.346 1.557
Se -5.301 0.950 -2.064
Se -7.031 2.752 3.145
Se -8.820 2.436 -0.431
Ir 0.000 0.000 0.000

4
Lattice="-0.625 2.719 -2.556 -3.437 1.553 -0.309 0.697 7.055 4.533" Properties=species:S:1:pos:R:3 comment="TmIrSe2 | Alexandria | PBE | optimized geometry" vol_a3_per_cell=101 crystal_system=trigonal e_form_raw_ev_per_atom=-0.360 pbc="T T T"
Ir -1.682 5.663 0.834
Tm 0.000 0.000 0.000
Se -0.013 5.103 2.631
Se -3.350 6.223 -0.963

8
Lattice="-1.901 1.096 3.312 2.261 -5.909 3.253 4.806 5.138 1.058" Properties=species:S:1:pos:R:3 comment="Tm4IrSe3 | Alexandria | PBE | optimized geometry" vol_a3_per_cell=191 crystal_system=orthorhombic e_form_raw_ev_per_atom=-1.488 pbc="T T T"
Tm 1.584 -0.173 0.967
Tm 1.913 -2.748 4.390
Tm 5.483 -0.598 3.345
Tm 3.253 3.073 3.234
Se 2.403 2.569 0.529
Se 2.583 0.162 3.812
Se 1.131 -2.955 1.626
Ir -0.951 0.548 1.656

4
Lattice="3.970 0.000 0.000 1.985 3.438 0.000 1.985 1.146 6.923" Properties=species:S:1:pos:R:3 comment="U2IrSe | Alexandria | PBE | optimized geometry" vol_a3_per_cell=94 crystal_system=trigonal e_form_raw_ev_per_atom=-0.676 pbc="T T T"
Ir 0.000 0.000 0.000
U 1.985 1.146 1.565
U 5.955 3.438 5.357
Se 3.970 2.292 3.461

8
Lattice="-1.804 5.770 2.619 -3.617 0.055 5.199 1.788 1.943 6.762" Properties=species:S:1:pos:R:3 comment="UIrSe6 | Alexandria | PBE | optimized geometry" vol_a3_per_cell=194 crystal_system=triclinic e_form_raw_ev_per_atom=-0.365 pbc="T T T"
U -1.817 3.884 7.290
Ir 0.000 0.000 0.000
Se -2.388 7.023 9.738
Se -3.172 5.960 12.850
Se -1.479 4.557 4.787
Se -0.462 1.808 1.730
Se -1.245 0.746 4.842
Se -2.154 3.211 9.793

19
Lattice="8.111 -0.129 -0.155 -1.357 7.998 -0.155 -1.357 -1.581 7.841" Properties=species:S:1:pos:R:3 comment="U6IrSe12 | Alexandria | PBE | optimized geometry" vol_a3_per_cell=503 crystal_system=trigonal e_form_raw_ev_per_atom=-0.968 pbc="T T T"
U 3.989 6.276 2.674
U 4.509 2.115 0.879
U -0.202 4.530 2.238
U 1.407 0.011 4.857
U 0.888 4.172 6.653
U 5.598 1.757 5.293
Ir 0.000 0.000 0.000
Se 5.314 3.811 3.159
Se 1.593 5.621 4.314
Se 2.961 2.066 6.301
Se 0.082 2.476 4.373
Se 3.803 0.666 3.218
Se 2.435 4.221 1.230
Se -1.283 7.230 2.253
Se -1.945 4.039 7.298
Se 4.287 7.415 0.016
Se 6.679 -0.943 5.278
Se 7.341 2.248 0.233
Se 1.109 -1.128 7.516

| no. | total moment (μB per atom) |
| --- | --- |
| 1 | 0.00 |
| 2 | 0.00 |
| 3 | 0.00 |
| 4 | 0.00 |
| 5 | 0.13 |
| 6 | 0.00 |
| 7 | 0.00 |
| 8 | 0.00 |
| 9 | 0.00 |
| 10 | 1.19 |
| 11 | 0.12 |
| 12 | 0.79 |